1.
Crystalline Tb8Te3AsP3 at its relaxed geometry. Source: Alexandria, functional PBE-GGA.

Cell lengths 8.2255, 8.2255, 21.0372 Å; angles 90.00, 90.00, 120.00 degrees
Space group R-3m (No. 166, hexagonal axes)
Symmetry-distinct sites (fractional):
Tb 0.0000 0.0000 0.2363
Tb 0.0096 0.5048 0.7603
Te 0.0000 0.5000 0.0000
As 0.0000 0.0000 0.5000
P 0.0000 0.5000 0.5000

Computed properties:
Uncorrected formation energy (kJ per mole of atoms): -137.5



2.
Crystalline Tb4Te2AsP at its relaxed geometry. Source: Alexandria, functional PBE-GGA.

Cell lengths 7.228, 4.176, 7.500 Å; angles 90.00, 108.79, 90.00 degrees
Space group P2/m (No. 10)
Symmetry-distinct sites (fractional):
Tb 0.232 0.000 0.212
Tb 0.255 0.500 0.785
Te 0.000 0.000 0.500
Te 0.500 0.500 0.500
As 0.500 0.000 0.000
P 0.000 0.500 0.000

Computed properties:
Uncorrected formation energy (kJ per mole of atoms): -148.2